Record 1
The following is a PBE calculation of a relaxed structure of SrHfTe3, from Alexandria via LeMat-Bulk.

The space group is Pnma (No. 62) and the conventional cell measures 8.016, 10.961 and 7.472 Å, with angles of 90.00, 90.00 and 90.00 degrees. The asymmetric unit holds Sr at (0.107, 0.250, 0.043), Hf at (0.000, 0.000, 0.500), Te at (0.011, 0.750, 0.384) and Te at (0.185, 0.553, 0.824).

For the density of states at the Fermi level, the calculation gives 0.000 states/eV/atom. The offset from the most stable computed form is 9.8 meV per atom. The value obtained for the raw formation energy is -1.12 eV per atom.

Record 2
The following is a PBE calculation of a relaxed structure of SrHfTe3, from Alexandria via LeMat-Bulk.

The space group is Cmcm (No. 63) and the conventional cell measures 10.472, 8.453 and 9.191 Å, with angles of 90.00, 90.00 and 90.00 degrees. The asymmetric unit holds Sr at (0.000, 0.186, 0.250), Hf at (0.000, 0.319, 0.750), Te at (0.000, 0.500, 0.000) and Te at (0.199, 0.121, 0.750).

For the density of states at the Fermi level, the calculation gives 0.000 states/eV/atom. The offset from the most stable computed form is 268.2 meV per atom. The value obtained for the raw formation energy is -0.86 eV per atom.

Record 3
The following is a PBE calculation of a relaxed structure of SrHfTe3, from Alexandria via LeMat-Bulk.

The space group is R-3 (No. 148, hexagonal axes) and the conventional cell measures 7.6848, 7.6848 and 21.4610 Å, with angles of 90.00, 90.00 and 120.00 degrees. The asymmetric unit holds Sr at (0.0000, 0.0000, 0.1433), Hf at (0.0000, 0.0000, 0.3348) and Te at (0.0031, 0.3904, 0.9220).

For the density of states at the Fermi level, the calculation gives 0.000 states/eV/atom. The offset from the most stable computed form is 41.8 meV per atom. The value obtained for the raw formation energy is -1.09 eV per atom.

Record 4
The following is a PBE calculation of a relaxed structure of SrHfTe3, from Alexandria via LeMat-Bulk.

The space group is P1 (No. 1) and the conventional cell measures 7.425, 7.520 and 8.070 Å, with angles of 81.92, 73.37 and 60.42 degrees. The asymmetric unit holds Sr at (0.000, 0.000, 0.000), Sr at (0.148, 0.704, 0.500), Hf at (0.329, 0.341, 0.000), Hf at (0.665, 0.670, 0.000), Te at (0.066, 0.370, 0.779), Te at (0.307, 0.002, 0.222), Te at (0.443, 0.625, 0.775), Te at (0.564, 0.370, 0.221), Te at (0.691, 0.001, 0.778) and Te at (0.931, 0.625, 0.225).

For the density of states at the Fermi level, the calculation gives 0.000 states/eV/atom. The offset from the most stable computed form is 6.9 meV per atom. The value obtained for the raw formation energy is -1.12 eV per atom.

Record 5
The following is a PBE calculation of a relaxed structure of Sr2Hf2Te, from Alexandria via LeMat-Bulk.

The space group is I4/mmm (No. 139) and the conventional cell measures 4.004, 4.004 and 20.999 Å, with angles of 90.00, 90.00 and 90.00 degrees. The asymmetric unit holds Sr at (0.000, 0.000, 0.094), Hf at (0.000, 0.500, 0.250) and Te at (0.000, 0.000, 0.500).

For the density of states at the Fermi level, the calculation gives 1.033 states/eV/atom. The offset from the most stable computed form is 0.0 meV per atom. The value obtained for the raw formation energy is -0.12 eV per atom.

Record 6
The following is a PBE calculation of a relaxed structure of Sr3HfTe, from Alexandria via LeMat-Bulk.

The space group is Pm-3m (No. 221) and the conventional cell measures 6.178, 6.178 and 6.178 Å, with angles of 90.00, 90.00 and 90.00 degrees. The asymmetric unit holds Sr at (0.000, 0.000, 0.500), Hf at (0.500, 0.500, 0.500) and Te at (0.000, 0.000, 0.000).

For the density of states at the Fermi level, the calculation gives 1.948 states/eV/atom. The offset from the most stable computed form is 0.0 meV per atom. The value obtained for the raw formation energy is 0.25 eV per atom.

Record 7
The following is a PBE calculation of a relaxed structure of SrHfTe2, from Alexandria via LeMat-Bulk.

The space group is R-3m (No. 166, hexagonal axes) and the conventional cell measures 4.0707, 4.0707 and 30.5958 Å, with angles of 90.00, 90.00 and 120.00 degrees. The asymmetric unit holds Sr at (0.0000, 0.0000, 0.0000), Hf at (0.0000, 0.0000, 0.5000) and Te at (0.0000, 0.0000, 0.1101).

For the density of states at the Fermi level, the calculation gives 0.839 states/eV/atom. The offset from the most stable computed form is 0.0 meV per atom. The value obtained for the raw formation energy is -0.69 eV per atom.

Record 8
The following is a PBE calculation of a relaxed structure of SrHfTe3, from Alexandria via LeMat-Bulk.

The space group is P-1 (No. 2) and the conventional cell measures 7.519, 7.521 and 9.156 Å, with angles of 90.04, 114.19 and 119.98 degrees. The asymmetric unit holds Sr at (0.000, 0.000, 0.000), Sr at (0.000, 0.500, 0.500), Hf at (0.334, 0.167, 0.501), Te at (0.142, 0.197, 0.713), Te at (0.233, 0.430, 0.287) and Te at (0.485, 0.055, 0.288).

For the density of states at the Fermi level, the calculation gives 0.000 states/eV/atom. The offset from the most stable computed form is 8.5 meV per atom. The value obtained for the raw formation energy is -1.12 eV per atom.

Record 9
The following is a PBE calculation of a relaxed structure of SrHfTe3, from Alexandria via LeMat-Bulk.

The space group is Pmmn (No. 59, origin choice 2) and the conventional cell measures 4.471, 7.365 and 9.818 Å, with angles of 90.00, 90.00 and 90.00 degrees. The asymmetric unit holds Sr at (0.250, 0.250, 0.136), Hf at (0.250, 0.750, 0.398), Te at (0.250, 0.515, 0.645) and Te at (0.250, 0.750, 0.102).

For the density of states at the Fermi level, the calculation gives 0.000 states/eV/atom. The offset from the most stable computed form is 95.4 meV per atom. The value obtained for the raw formation energy is -1.03 eV per atom.

Record 10
The following is a PBE calculation of a relaxed structure of SrHfTe3, from Alexandria via LeMat-Bulk.

The space group is I-4m2 (No. 119) and the conventional cell measures 5.932, 5.932 and 23.049 Å, with angles of 90.00, 90.00 and 90.00 degrees. The asymmetric unit holds Sr at (0.000, 0.000, 0.000), Sr at (0.000, 0.500, 0.250), Hf at (0.000, 0.500, 0.687), Te at (0.000, 0.000, 0.290) and Te at (0.000, 0.250, 0.122).

For the density of states at the Fermi level, the calculation gives 0.577 states/eV/atom. The offset from the most stable computed form is 774.1 meV per atom. The value obtained for the raw formation energy is -0.35 eV per atom.

Record 11
The following is a PBE calculation of a relaxed structure of SrHfTe3, from Alexandria via LeMat-Bulk.

The space group is P2_1/c (No. 14) and the conventional cell measures 10.457, 8.513 and 7.988 Å, with angles of 90.00, 110.03 and 90.00 degrees. The asymmetric unit holds Sr at (0.139, 0.242, 0.066), Hf at (0.351, 0.665, 0.276), Te at (0.094, 0.556, 0.287), Te at (0.291, 0.547, 0.917) and Te at (0.460, 0.156, 0.854).

For the density of states at the Fermi level, the calculation gives 0.000 states/eV/atom. The offset from the most stable computed form is 125.4 meV per atom. The value obtained for the raw formation energy is -1.00 eV per atom.

Record 12
The following is a PBE calculation of a relaxed structure of SrHfTe3, from Alexandria via LeMat-Bulk.

The space group is C2/m (No. 12) and the conventional cell measures 13.150, 5.635 and 9.754 Å, with angles of 90.00, 108.50 and 90.00 degrees. The asymmetric unit holds Sr at (0.101, 0.000, 0.371), Hf at (0.124, 0.500, 0.902), Te at (0.102, 0.500, 0.199), Te at (0.141, 0.000, 0.939) and Te at (0.145, 0.500, 0.623).

For the density of states at the Fermi level, the calculation gives 0.000 states/eV/atom. The offset from the most stable computed form is 115.3 meV per atom. The value obtained for the raw formation energy is -1.01 eV per atom.

> Which value of offset from the most stable computed form does entry 12 give?

115.3 meV per atom

Repeat the eighth record exactly.
The following is a PBE calculation of a relaxed structure of SrHfTe3, from Alexandria via LeMat-Bulk.

The space group is P-1 (No. 2) and the conventional cell measures 7.519, 7.521 and 9.156 Å, with angles of 90.04, 114.19 and 119.98 degrees. The asymmetric unit holds Sr at (0.000, 0.000, 0.000), Sr at (0.000, 0.500, 0.500), Hf at (0.334, 0.167, 0.501), Te at (0.142, 0.197, 0.713), Te at (0.233, 0.430, 0.287) and Te at (0.485, 0.055, 0.288).

For the density of states at the Fermi level, the calculation gives 0.000 states/eV/atom. The offset from the most stable computed form is 8.5 meV per atom. The value obtained for the raw formation energy is -1.12 eV per atom.

Please write out number 3 again, unchanged.
The following is a PBE calculation of a relaxed structure of SrHfTe3, from Alexandria via LeMat-Bulk.

The space group is R-3 (No. 148, hexagonal axes) and the conventional cell measures 7.6848, 7.6848 and 21.4610 Å, with angles of 90.00, 90.00 and 120.00 degrees. The asymmetric unit holds Sr at (0.0000, 0.0000, 0.1433), Hf at (0.0000, 0.0000, 0.3348) and Te at (0.0031, 0.3904, 0.9220).

For the density of states at the Fermi level, the calculation gives 0.000 states/eV/atom. The offset from the most stable computed form is 41.8 meV per atom. The value obtained for the raw formation energy is -1.09 eV per atom.

> What is the formula in the sixth record?

Sr3HfTe